A plane-wave DFT calculation with PBE was carried out for crystalline Ho3ScNi at its relaxed geometry.

Calculated values
Its symmetry is No. 12. The formation energy comes out at -0.6 eV/f.u.

Unit cell a=7.015 b=7.015 c=7.833 alpha=123.89 beta=123.89 gamma=74.30
Sites, in units of the cell vectors:
Ho 0.051 0.051 0.265
Ho 0.058 0.457 0.793
Ho 0.457 0.058 0.793
Ho 0.543 0.942 0.207
Ho 0.942 0.543 0.207
Ho 0.949 0.949 0.735
Sc 0.452 0.452 0.654
Sc 0.548 0.548 0.346
Ni 0.255 0.255 0.144
Ni 0.745 0.745 0.856

A plane-wave DFT calculation with PBE was carried out for crystalline HoScNi2 at its relaxed geometry.

Calculated values
The value obtained for the polymorph energy (0 for the lowest one) is 31 meV per atom. Its symmetry is No. 225. The formation energy comes out at -1.7 eV/f.u.

Unit cell a=4.626 b=4.626 c=4.626 alpha=60.00 beta=60.00 gamma=60.00
Sites, in units of the cell vectors:
Ho 0.000 0.000 0.000
Sc 0.500 0.500 0.500
Ni 0.250 0.250 0.250
Ni 0.750 0.750 0.750

A plane-wave DFT calculation with PBE was carried out for crystalline Ho6ScNi2 at its relaxed geometry.

Calculated values
Its symmetry is No. 71. The formation energy comes out at -1.5 eV/f.u.

Unit cell a=8.416 b=8.416 c=8.416 alpha=111.70 beta=111.61 gamma=105.18
Sites, in units of the cell vectors:
Ho 0.043 0.244 0.800
Ho 0.185 0.286 0.470
Ho 0.185 0.714 0.899
Ho 0.320 0.010 0.690
Ho 0.320 0.630 0.310
Ho 0.444 0.244 0.200
Ho 0.556 0.756 0.800
Ho 0.680 0.370 0.690
Ho 0.680 0.990 0.310
Ho 0.815 0.286 0.101
Ho 0.815 0.714 0.530
Ho 0.957 0.756 0.200
Sc 0.000 0.000 0.000
Sc 0.500 0.500 0.000
Ni 0.119 0.619 0.500
Ni 0.310 0.000 0.310
Ni 0.690 0.000 0.690
Ni 0.881 0.381 0.500

A plane-wave DFT calculation with PBE was carried out for crystalline HoSc4Ni2 at its relaxed geometry.

Calculated values
Its symmetry is No. 11. The formation energy comes out at -1.5 eV/f.u.

Unit cell a=7.174 b=5.874 c=7.553 alpha=90.00 beta=112.51 gamma=90.00
Sites, in units of the cell vectors:
Ho 0.150 0.250 0.020
Ho 0.850 0.750 0.980
Sc 0.025 0.250 0.393
Sc 0.258 0.750 0.353
Sc 0.407 0.003 0.766
Sc 0.407 0.497 0.766
Sc 0.593 0.503 0.234
Sc 0.593 0.997 0.234
Sc 0.742 0.250 0.647
Sc 0.975 0.750 0.607
Ni 0.262 0.750 0.991
Ni 0.382 0.250 0.424
Ni 0.618 0.750 0.576
Ni 0.738 0.250 0.009

A plane-wave DFT calculation with PBE was carried out for crystalline Ho3ScNi8 at its relaxed geometry.

Calculated values
Its symmetry is No. 160. The formation energy comes out at -5.7 eV/f.u.

Unit cell a=8.698 b=8.698 c=8.698 alpha=33.46 beta=33.46 gamma=33.46
Sites, in units of the cell vectors:
Ho 0.000 0.000 0.000
Ho 0.126 0.126 0.126
Ho 0.504 0.504 0.504
Sc 0.628 0.628 0.628
Ni 0.062 0.564 0.564
Ni 0.066 0.066 0.566
Ni 0.066 0.566 0.066
Ni 0.314 0.314 0.314
Ni 0.564 0.062 0.564
Ni 0.564 0.564 0.062
Ni 0.566 0.066 0.066
Ni 0.815 0.815 0.815

A plane-wave DFT calculation with PBE was carried out for crystalline Ho2Sc3Ni2 at its relaxed geometry.

Calculated values
The value obtained for the polymorph energy (0 for the lowest one) is 0 meV per atom. Its symmetry is No. 12. The formation energy comes out at -1.9 eV/f.u.

Unit cell a=6.018 b=6.018 c=8.542 alpha=114.04 beta=114.04 gamma=33.05
Sites, in units of the cell vectors:
Ho 0.161 0.161 0.304
Ho 0.839 0.839 0.696
Sc 0.383 0.383 0.069
Sc 0.500 0.500 0.500
Sc 0.617 0.617 0.931
Ni 0.166 0.166 0.736
Ni 0.834 0.834 0.264

A plane-wave DFT calculation with PBE was carried out for crystalline Ho3Sc2Ni2 at its relaxed geometry.

Calculated values
Its symmetry is No. 12. The formation energy comes out at -1.8 eV/f.u.

Unit cell a=6.169 b=6.169 c=8.671 alpha=115.23 beta=115.23 gamma=32.81
Sites, in units of the cell vectors:
Ho 0.000 0.000 0.000
Ho 0.113 0.113 0.435
Ho 0.887 0.887 0.565
Sc 0.330 0.330 0.180
Sc 0.670 0.670 0.820
Ni 0.317 0.317 0.766
Ni 0.683 0.683 0.234

A plane-wave DFT calculation with PBE was carried out for crystalline HoSc2Ni at its relaxed geometry.

Calculated values
The value obtained for the polymorph energy (0 for the lowest one) is 204 meV per atom. Its symmetry is No. 166. The formation energy comes out at -0.2 eV/f.u.

Unit cell a=9.180 b=9.180 c=9.180 alpha=21.83 beta=21.83 gamma=21.83
Sites, in units of the cell vectors:
Ho 0.000 0.000 0.000
Sc 0.226 0.226 0.226
Sc 0.774 0.774 0.774
Ni 0.500 0.500 0.500

no.,total moment (μB/atom)
1,0.00
2,0.00
3,0.00
4,0.00
5,0.00
6,0.00
7,0.00
8,0.00